First-principles (PBE-GGA) data for a geometry-optimized Y3ZnPb structure, as listed in the Alexandria database.

Cell and atoms, written as extended XYZ:
```
5
Lattice="5.3789 0.0000 0.0000 0.0000 5.3789 0.0000 0.0000 0.0000 5.3789" Properties=species:S:1:pos:R:3 pbc="T T T"
Y 0.0000 0.0000 2.6895
Y 0.0000 2.6895 0.0000
Y 2.6895 0.0000 0.0000
Zn 0.0000 0.0000 0.0000
Pb 2.6895 2.6895 2.6895
```

Space group: Pm-3m
DFT total energy in eV per atom: -4.9590
Volume in Å³ per cell: 156
Calculated formation energy in meV/atom: -84